(1)
A relaxed BaHoAu crystal, computed with PBE-GGA.

Cell: 7.2544 7.2544 7.2544 Å, 90.00 90.00 90.00°
Space group F-43m (No. 216)
Inequivalent atoms, fractional coordinates:
Ba 0.0000 0.0000 0.0000 x4
Ho 0.2500 0.2500 0.7500 x4
Au 0.0000 0.0000 0.5000 x4

Summary:
ΔE to the lowest computed polymorph = 0 meV/atom
Crystal system = cubic


(2)
A relaxed HoSbPt crystal, computed with PBE-GGA.

Cell: 7.4245 7.4245 4.1708 Å, 90.00 90.00 120.00°
Space group P-62m (No. 189)
Inequivalent atoms, fractional coordinates:
Ho 0.0000 0.6062 0.0000 x3
Sb 0.0000 0.2727 0.5000 x3
Pt 0.0000 0.0000 0.0000 x1
Pt 0.3333 0.6667 0.5000 x2

Summary:
Electronic total energy = -0.4383 Ry per atom
Crystal system = hexagonal


(3)
A relaxed LuBeCuSi crystal, computed with PBE-GGA.

Cell: 6.1428 6.1428 6.1428 Å, 90.00 90.00 90.00°
Space group F-43m (No. 216)
Inequivalent atoms, fractional coordinates:
Lu 0.0000 0.0000 0.0000 x4
Be 0.2500 0.2500 0.2500 x4
Cu 0.2500 0.2500 0.7500 x4
Si 0.0000 0.0000 0.5000 x4

Summary:
ΔE to the lowest computed polymorph = 0 meV/atom
Crystal system = cubic


(4)
A relaxed NaLiPdW crystal, computed with PBE-GGA.

Cell: 6.2905 6.2905 6.2905 Å, 90.00 90.00 90.00°
Space group F-43m (No. 216)
Inequivalent atoms, fractional coordinates:
Na 0.0000 0.0000 0.0000 x4
Li 0.2500 0.2500 0.2500 x4
Pd 0.0000 0.0000 0.5000 x4
W 0.2500 0.2500 0.7500 x4

Summary:
ΔE to the lowest computed polymorph = 0 meV/atom
Crystal system = cubic